An optimized crystal structure of Ac2TlNiO5. Source: Alexandria, functional GGA+U.

abc: 7.2210 7.2210 5.7642
angles: 90.00 90.00 90.00
Fractional positions:
Ac1 0.1823 0.3177 0.0000
Ac2 0.3177 0.8177 0.0000
Ac3 0.6823 0.1823 0.0000
Ac4 0.8177 0.6823 0.0000
Tl1 0.0000 0.0000 0.5000
Tl2 0.5000 0.5000 0.5000
Ni1 0.0000 0.5000 0.5000
Ni2 0.5000 0.0000 0.5000
O1 0.0000 0.0000 0.0000
O2 0.1237 0.6237 0.2631
O3 0.1237 0.6237 0.7369
O4 0.3763 0.1237 0.2631
O5 0.3763 0.1237 0.7369
O6 0.5000 0.5000 0.0000
O7 0.6237 0.8763 0.2631
O8 0.6237 0.8763 0.7369
O9 0.8763 0.3763 0.2631
O10 0.8763 0.3763 0.7369

SG	P4/mbm
total energy	-6.2711	eV/atom
magnetic moment	2.00	μB per cell